1.
Hg5Cl3F12 after structural relaxation, computed with PBE-GGA.

Cell and atoms, written as POSCAR:
```
Hg5Cl3F12
1.0
-7.225 7.225 7.225
7.225 -7.225 7.225
7.225 7.225 -7.225
Hg Cl F
20 12 48
direct
0.000 0.000 0.000
0.000 0.000 0.500
0.000 0.500 0.000
0.000 0.500 0.500
0.125 0.750 0.875
0.125 0.875 0.250
0.250 0.125 0.875
0.250 0.625 0.375
0.375 0.250 0.625
0.375 0.625 0.750
0.500 0.000 0.000
0.500 0.000 0.500
0.500 0.500 0.000
0.500 0.500 0.500
0.625 0.375 0.250
0.625 0.750 0.375
0.750 0.375 0.625
0.750 0.875 0.125
0.875 0.125 0.750
0.875 0.250 0.125
0.125 0.250 0.375
0.125 0.375 0.750
0.250 0.375 0.125
0.250 0.875 0.625
0.375 0.125 0.250
0.375 0.750 0.125
0.625 0.250 0.875
0.625 0.875 0.750
0.750 0.125 0.375
0.750 0.625 0.875
0.875 0.625 0.250
0.875 0.750 0.625
0.023 0.206 0.090
0.023 0.317 0.933
0.067 0.590 0.384
0.067 0.977 0.683
0.090 0.023 0.206
0.090 0.567 0.884
0.116 0.706 0.683
0.116 0.910 0.433
0.183 0.206 0.616
0.183 0.477 0.567
0.206 0.090 0.023
0.206 0.616 0.183
0.294 0.317 0.884
0.294 0.477 0.410
0.317 0.884 0.294
0.317 0.933 0.023
0.384 0.067 0.590
0.384 0.817 0.794
0.410 0.294 0.477
0.410 0.616 0.933
0.433 0.116 0.910
0.433 0.817 0.523
0.477 0.410 0.294
0.477 0.567 0.183
0.523 0.433 0.817
0.523 0.590 0.706
0.567 0.183 0.477
0.567 0.884 0.090
0.590 0.384 0.067
0.590 0.706 0.523
0.616 0.183 0.206
0.616 0.933 0.410
0.683 0.067 0.977
0.683 0.116 0.706
0.706 0.523 0.590
0.706 0.683 0.116
0.794 0.384 0.817
0.794 0.910 0.977
0.817 0.523 0.433
0.817 0.794 0.384
0.884 0.090 0.567
0.884 0.294 0.317
0.910 0.433 0.116
0.910 0.977 0.794
0.933 0.023 0.317
0.933 0.410 0.616
0.977 0.683 0.067
0.977 0.794 0.910
```

ΔE_f (raw) ... -0.818 eV/atom

2.
Hg4Cl3F4 after structural relaxation, computed with PBE-GGA.

Cell and atoms, written as POSCAR:
```
Hg4Cl3F4
1.0
-1.840 3.846 6.995
1.840 -3.846 6.995
1.840 3.846 -6.995
Hg Cl F
4 3 4
direct
0.228 0.228 0.000
0.271 0.500 0.771
0.729 0.500 0.229
0.772 0.772 0.000
0.000 0.000 0.000
0.385 0.885 0.500
0.615 0.115 0.500
0.004 0.326 0.679
0.353 0.674 0.679
0.647 0.326 0.321
0.996 0.674 0.321
```

ΔE_f (raw) ... -0.874 eV/atom

3.
In2Hg2ClF after structural relaxation, computed with PBE-GGA.

Cell and atoms, written as POSCAR:
```
In2Hg2ClF
1.0
4.092 0.000 0.000
0.000 9.845 0.000
0.000 0.000 8.388
In Hg Cl F
4 4 2 2
direct
0.000 0.081 0.000
0.000 0.919 0.500
0.500 0.277 0.482
0.500 0.723 0.982
0.000 0.415 0.783
0.000 0.585 0.283
0.500 0.354 0.100
0.500 0.646 0.600
0.500 0.064 0.719
0.500 0.936 0.219
0.000 0.153 0.427
0.000 0.847 0.927
```

ΔE_f (raw) ... -0.824 eV/atom

4.
InHgClF2 after structural relaxation, computed with PBE-GGA.

Cell and atoms, written as POSCAR:
```
InHgClF2
1.0
4.405 0.000 0.000
0.000 4.405 0.000
0.000 0.000 5.315
In Hg Cl F
1 1 1 2
direct
0.000 0.000 0.000
0.500 0.500 0.500
0.000 0.000 0.500
0.000 0.500 0.000
0.500 0.000 0.000
```

ΔE_f (raw) ... -1.389 eV/atom